[1]
# Ho6BiOs2, relaxed, DFT PBE-GGA
# * magnetization: 0.0 μB/cell
# * energy relative to the elements: -0.375 eV per atom
# * VASP energy: -57.18 eV/f.u.
# * N(E_F): 0.919 states/eV per atom
data_Ho6BiOs2
_symmetry_space_group_name_H-M 'I m m m'
_symmetry_Int_Tables_number 71
_symmetry_space_group_name_Hall '-I 2 2'
_cell_length_a 9.502
_cell_length_b 9.705
_cell_length_c 10.357
_cell_angle_alpha 90.00
_cell_angle_beta 90.00
_cell_angle_gamma 90.00
loop_
_atom_site_label
_atom_site_fract_x
_atom_site_fract_y
_atom_site_fract_z
_atom_site_occupancy
Ho1 0.000 0.218 0.241 1
Ho2 0.185 0.500 0.168 1
Ho3 0.219 0.317 0.500 1
Bi1 0.000 0.000 0.000 1
Bi2 0.000 0.000 0.500 1
Os1 0.000 0.335 0.000 1
Os2 0.000 0.500 0.379 1

=====

[2]
# Na3CaCe3O8, relaxed, DFT PBE-GGA
# * magnetization: 1.1 μB/cell
# * VASP energy: -104.28 eV/f.u.
# * N(E_F): 0.553 states/eV per atom
data_Na3CaCe3O8
_symmetry_space_group_name_H-M 'R -3 m'
_symmetry_Int_Tables_number 166
_symmetry_space_group_name_Hall '-R 3 2"'
_cell_length_a 7.0800
_cell_length_b 7.0800
_cell_length_c 16.6544
_cell_angle_alpha 90.00
_cell_angle_beta 90.00
_cell_angle_gamma 120.00
loop_
_atom_site_label
_atom_site_fract_x
_atom_site_fract_y
_atom_site_fract_z
_atom_site_occupancy
Na1 0.0000 0.5000 0.0000 1
Ca1 0.0000 0.0000 0.5000 1
Ce1 0.0000 0.5000 0.5000 1
O1 0.0000 0.0000 0.2404 1
O2 0.0069 0.5034 0.7685 1

=====

[3]
# Ca2Ac2Sm, relaxed, DFT PBE-GGA
# * magnetization: 0.0 μB/cell
# * E above lowest polymorph: 127.1 meV per atom
# * energy relative to the elements: 0.478 eV per atom
# * VASP energy: -14.55 eV/f.u.
# * N(E_F): 1.773 states/eV per atom
data_Ca2Ac2Sm
_symmetry_space_group_name_H-M 'I 4/m m m'
_symmetry_Int_Tables_number 139
_symmetry_space_group_name_Hall '-I 4 2'
_cell_length_a 4.987
_cell_length_b 4.987
_cell_length_c 18.014
_cell_angle_alpha 90.00
_cell_angle_beta 90.00
_cell_angle_gamma 90.00
loop_
_atom_site_label
_atom_site_fract_x
_atom_site_fract_y
_atom_site_fract_z
_atom_site_occupancy
Ca1 0.000 0.000 0.093 1
Ac1 0.000 0.500 0.250 1
Sm1 0.000 0.000 0.500 1

=====

[4]
# TaReGeRu, relaxed, DFT PBE-GGA
# * magnetization: 0.0 μB/cell
# * energy relative to the elements: -0.225 eV per atom
# * VASP energy: -39.09 eV/f.u.
# * N(E_F): 0.129 states/eV per atom
data_TaReGeRu
_symmetry_space_group_name_H-M 'F -4 3 m'
_symmetry_Int_Tables_number 216
_symmetry_space_group_name_Hall 'F -4 2 3'
_cell_length_a 6.250
_cell_length_b 6.250
_cell_length_c 6.250
_cell_angle_alpha 90.00
_cell_angle_beta 90.00
_cell_angle_gamma 90.00
loop_
_atom_site_label
_atom_site_fract_x
_atom_site_fract_y
_atom_site_fract_z
_atom_site_occupancy
Ta1 0.000 0.000 0.000 1
Re1 0.250 0.250 0.250 1
Ge1 0.000 0.000 0.500 1
Ru1 0.250 0.250 0.750 1

=====

[5]
# YCrIn2, relaxed, DFT PBE-GGA
# * magnetization: 4.2 μB/cell
# * energy relative to the elements: -0.071 eV per atom
# * VASP energy: -21.85 eV/f.u.
# * N(E_F): 0.708 states/eV per atom
data_YCrIn2
_symmetry_space_group_name_H-M 'P 4/m m m'
_symmetry_Int_Tables_number 123
_symmetry_space_group_name_Hall '-P 4 2'
_cell_length_a 4.498
_cell_length_b 4.498
_cell_length_c 4.564
_cell_angle_alpha 90.00
_cell_angle_beta 90.00
_cell_angle_gamma 90.00
loop_
_atom_site_label
_atom_site_fract_x
_atom_site_fract_y
_atom_site_fract_z
_atom_site_occupancy
Y1 0.000 0.000 0.000 1
Cr1 0.500 0.500 0.000 1
In1 0.000 0.500 0.500 1